# NiPtS

A relaxed structure of NiPtS (PBE, Alexandria).

```
NiPtS
1.0
3.593 0.000 0.000
-0.009 4.095 0.000
-1.624 -0.258 6.246
Ni Pt S
2 2 2
Direct
0.000 0.000 0.000
0.338 0.514 0.192
0.531 0.727 0.653
0.958 0.286 0.501
0.374 0.014 0.337
0.740 0.492 0.977
```

- Magnetization: 0.00 μB per formula unit
- Formation energy without anion corrections: -111.1 meV/atom
- Energy: -16.3 eV/f.u.
- Polymorph energy (0 for the lowest one): 0.19 eV/f.u.
- DOS(E_F): 4.75 states/eV/cell